Entry 1:
BaBe2Ru (meta-GGA SCAN, PBEsol geometry); formation energy = 238 kJ/mol of formula units
1.0
-1.2731 0.9604 3.4441
-5.0946 0.0312 0.1994
-1.8396 -4.0241 2.5333
Be Ba Ru
2 1 1
direct
0.1493 0.8507 0.8507
0.8507 0.1493 0.1493
0.0000 0.5000 0.5000
0.5000 0.0000 0.0000

Entry 2:
YSeO3F (meta-GGA SCAN, PBEsol geometry); energy above the lowest structure with this stoichiometry = 13 meV/atom; formation energy without anion corrections = -253 kJ per mole of atoms
1.0
4.3646 -0.0732 0.0000
-0.8044 6.4653 0.0000
0.0000 0.0000 6.9926
Y O F Se
2 6 2 2
direct
0.5436 0.6319 0.2500
0.4564 0.3681 0.7500
0.5608 0.6810 0.9273
0.3996 0.0166 0.7500
0.6004 0.9834 0.2500
0.4392 0.3190 0.0727
0.5608 0.6810 0.5727
0.4392 0.3190 0.4273
0.0452 0.6473 0.2500
0.9548 0.3527 0.7500
0.3209 0.1379 0.2500
0.6791 0.8621 0.7500

Total magnetic moment (μB per atom)
0.000; 0.000
D(E_F) (states/eV per cell)
1.75; 0.00